No. 1
{
  "formula": "BaCdHg2",
  "functional": "PBE-GGA",
  "state": "optimized geometry",
  "lattice_angstrom": [[5.130, 0.000, 0.000], [0.000, 5.131, 0.000], [0.000, 0.000, 4.876]],
  "species": ["Cd", "Hg", "Hg", "Ba"],
  "frac_coords": [[0.000, 0.500, 0.500], [0.000, 0.000, 0.000], [0.500, 0.500, 0.000], [0.500, 0.000, 0.500]],
  "n_ef_per_ev_cell": 3.5,
  "e_form_mev_per_atom": -301
}

No. 2
{
  "formula": "LiHfTe3",
  "functional": "PBE-GGA",
  "state": "optimized geometry",
  "lattice_angstrom": [[-1.834, 4.481, 5.798], [-6.079, -5.675, 2.463], [8.592, -2.204, 4.422]],
  "species": ["Li", "Li", "Li", "Li", "Hf", "Hf", "Hf", "Hf", "Te", "Te", "Te", "Te", "Te", "Te", "Te", "Te", "Te", "Te", "Te", "Te"],
  "frac_coords": [[0.787, 0.585, 0.479], [0.713, 0.085, 0.979], [0.287, 0.915, 0.021], [0.213, 0.415, 0.521], [0.196, 0.371, 0.138], [0.304, 0.871, 0.638], [0.696, 0.129, 0.362], [0.804, 0.629, 0.862], [0.548, 0.369, 0.266], [0.135, 0.651, 0.390], [0.952, 0.869, 0.766], [0.655, 0.924, 0.549], [0.365, 0.151, 0.890], [0.155, 0.576, 0.951], [0.845, 0.424, 0.049], [0.635, 0.849, 0.110], [0.345, 0.076, 0.451], [0.048, 0.131, 0.234], [0.865, 0.349, 0.610], [0.452, 0.631, 0.734]],
  "n_ef_per_ev_cell": 1.7,
  "formation_energy_uncorrected_ev_per_fu": -3.17
}

No. 3
{
  "formula": "NdHo6In2",
  "functional": "PBE-GGA",
  "state": "optimized geometry",
  "lattice_angstrom": [[-0.967, -4.503, -4.202], [-0.353, -4.206, 4.589], [-6.845, 5.514, 0.292]],
  "species": ["Nd", "Ho", "Ho", "Ho", "Ho", "Ho", "Ho", "In", "In"],
  "frac_coords": [[0.500, 0.500, 0.000], [0.908, 0.264, 0.173], [0.736, 0.736, 0.827], [0.264, 0.908, 0.173], [0.092, 0.092, 0.827], [0.750, 0.250, 0.500], [0.250, 0.750, 0.500], [0.284, 0.284, 0.568], [0.716, 0.716, 0.432]],
  "n_ef_per_ev_cell": 14.1,
  "e_form_mev_per_atom": 305
}

No. 4
{
  "formula": "U3P2Se3",
  "functional": "PBE-GGA",
  "state": "optimized geometry",
  "lattice_angstrom": [[-0.428, -2.728, 4.808], [-8.344, -0.049, -0.771], [4.537, -6.294, -3.167]],
  "species": ["U", "U", "U", "U", "U", "U", "P", "P", "P", "P", "Se", "Se", "Se", "Se", "Se", "Se"],
  "frac_coords": [[0.750, 0.610, 0.000], [0.750, 0.390, 0.390], [0.750, 0.000, 0.610], [0.250, 0.390, 0.000], [0.250, 0.610, 0.610], [0.250, 0.000, 0.390], [0.000, 0.333, 0.667], [0.500, 0.667, 0.333], [0.000, 0.667, 0.333], [0.500, 0.333, 0.667], [0.750, 0.253, 0.000], [0.750, 0.747, 0.747], [0.750, 0.000, 0.253], [0.250, 0.747, 0.000], [0.250, 0.253, 0.253], [0.250, 0.000, 0.747]],
  "n_ef_per_ev_cell": 24.4,
  "formation_energy_uncorrected_ev_per_fu": -8.52
}

No. 5
{
  "formula": "InTePb2",
  "functional": "PBE-GGA",
  "state": "optimized geometry",
  "lattice_angstrom": [[4.319, 0.000, 0.000], [0.000, 4.319, 0.000], [0.000, 0.000, 6.907]],
  "species": ["In", "Pb", "Pb", "Te"],
  "frac_coords": [[0.500, 0.500, 0.768], [0.000, 0.000, 0.982], [0.500, 0.500, 0.292], [0.000, 0.000, 0.458]],
  "n_ef_per_ev_cell": 1.9,
  "formation_energy_uncorrected_ev_per_fu": -0.23
}

No. 6
{
  "formula": "SrLi2Ge",
  "functional": "PBE-GGA",
  "state": "optimized geometry",
  "lattice_angstrom": [[-0.078, 3.857, -5.950], [-0.879, -6.801, 1.808], [-3.321, -2.478, 5.755]],
  "species": ["Sr", "Li", "Li", "Ge"],
  "frac_coords": [[0.000, 0.500, 0.500], [0.000, 0.200, 0.200], [0.000, 0.800, 0.800], [0.000, 0.000, 0.000]],
  "n_ef_per_ev_cell": 1.4,
  "e_form_mev_per_atom": -87
}

No. 7
{
  "formula": "LiW3I",
  "functional": "PBE-GGA",
  "state": "optimized geometry",
  "lattice_angstrom": [[4.408, 0.000, 0.000], [0.000, 4.408, 0.000], [0.000, 0.000, 4.408]],
  "species": ["I", "W", "W", "W", "Li"],
  "frac_coords": [[0.500, 0.500, 0.500], [0.000, 0.500, 0.000], [0.000, 0.000, 0.500], [0.500, 0.000, 0.000], [0.000, 0.000, 0.000]],
  "n_ef_per_ev_cell": 6.0,
  "formation_energy_uncorrected_ev_per_fu": 10.56
}

No. 8
{
  "formula": "NaFe2I6",
  "functional": "PBE-GGA",
  "state": "optimized geometry",
  "lattice_angstrom": [[7.120, 0.490, 2.267], [2.542, 10.332, 0.963], [0.129, 0.478, 10.672]],
  "species": ["Na", "Na", "Fe", "Fe", "Fe", "Fe", "I", "I", "I", "I", "I", "I", "I", "I", "I", "I", "I", "I"],
  "frac_coords": [[0.250, 0.100, 0.900], [0.750, 0.900, 0.100], [0.361, 0.624, 0.781], [0.139, 0.219, 0.376], [0.639, 0.376, 0.219], [0.861, 0.781, 0.624], [0.752, 0.567, 0.715], [0.748, 0.285, 0.433], [0.248, 0.433, 0.285], [0.252, 0.715, 0.567], [0.785, 0.861, 0.408], [0.715, 0.592, 0.139], [0.215, 0.139, 0.592], [0.285, 0.408, 0.861], [0.212, 0.796, 0.962], [0.288, 0.038, 0.204], [0.788, 0.204, 0.038], [0.712, 0.962, 0.796]],
  "n_ef_per_ev_cell": 10.2,
  "formation_energy_uncorrected_ev_per_fu": -3.28
}

No. 9
{
  "formula": "Tb4SmGa",
  "functional": "PBE-GGA",
  "state": "optimized geometry",
  "lattice_angstrom": [[6.237, -0.661, 0.000], [-2.491, 8.679, 0.000], [-1.873, -4.009, 6.823]],
  "species": ["Tb", "Tb", "Tb", "Tb", "Tb", "Tb", "Tb", "Tb", "Sm", "Sm", "Ga", "Ga"],
  "frac_coords": [[0.041, 0.169, 0.782], [0.768, 0.718, 0.640], [0.241, 0.614, 0.782], [0.372, 0.921, 0.640], [0.628, 0.079, 0.360], [0.759, 0.386, 0.218], [0.232, 0.282, 0.360], [0.959, 0.831, 0.218], [0.350, 0.600, 0.201], [0.650, 0.400, 0.799], [0.250, 0.000, 0.999], [0.750, 0.000, 0.001]],
  "n_ef_per_ev_cell": 16.3,
  "e_form_mev_per_atom": -105
}

No. 10
{
  "formula": "CaC3Se",
  "functional": "PBE-GGA",
  "state": "optimized geometry",
  "lattice_angstrom": [[-0.637, -3.648, -1.613], [-1.595, -1.264, 3.489], [-3.656, 1.187, -1.241]],
  "species": ["Ca", "C", "C", "C", "Se"],
  "frac_coords": [[0.500, 0.500, 0.500], [0.000, 0.500, 0.000], [0.000, 0.000, 0.500], [0.500, 0.000, 0.000], [0.000, 0.000, 0.000]],
  "n_ef_per_ev_cell": 3.8,
  "formation_energy_uncorrected_ev_per_fu": 10.72
}

No. 11
{
  "formula": "PrCdSn2",
  "functional": "PBE-GGA",
  "state": "optimized geometry",
  "lattice_angstrom": [[-1.279, 3.558, 1.149], [-2.185, -1.696, 2.823], [5.366, 0.492, 4.449]],
  "species": ["Pr", "Sn", "Sn", "Cd"],
  "frac_coords": [[0.500, 0.500, 0.500], [0.000, 0.000, 0.782], [0.000, 0.000, 0.218], [0.500, 0.500, 0.000]],
  "n_ef_per_ev_cell": 3.6,
  "e_form_mev_per_atom": -313
}

No. 12
{
  "formula": "Dy3Er6Tl",
  "functional": "PBE-GGA",
  "state": "optimized geometry",
  "lattice_angstrom": [[3.474, 0.000, 0.000], [0.000, 12.186, -3.300], [0.000, 1.123, 14.070]],
  "species": ["Dy", "Dy", "Dy", "Dy", "Dy", "Dy", "Er", "Er", "Er", "Er", "Er", "Er", "Er", "Er", "Er", "Er", "Er", "Er", "Tl", "Tl"],
  "frac_coords": [[0.750, 0.423, 0.903], [0.250, 0.577, 0.097], [0.750, 0.629, 0.503], [0.250, 0.371, 0.497], [0.750, 0.075, 0.101], [0.250, 0.925, 0.899], [0.750, 0.489, 0.691], [0.250, 0.511, 0.309], [0.750, 0.808, 0.075], [0.250, 0.192, 0.925], [0.750, 0.342, 0.117], [0.250, 0.658, 0.883], [0.750, 0.753, 0.309], [0.250, 0.247, 0.691], [0.750, 0.115, 0.467], [0.250, 0.885, 0.533], [0.750, 0.773, 0.715], [0.250, 0.227, 0.285], [0.750, 0.033, 0.723], [0.250, 0.967, 0.277]],
  "n_ef_per_ev_cell": 28.8,
  "e_form_mev_per_atom": 18
}

No. 13
{
  "formula": "MgTaFeIr",
  "functional": "PBE-GGA",
  "state": "optimized geometry",
  "lattice_angstrom": [[4.367, 0.000, 0.000], [2.183, 3.782, 0.000], [2.183, 1.261, 3.565]],
  "species": ["Mg", "Ir", "Fe", "Ta"],
  "frac_coords": [[0.500, 0.500, 0.500], [0.750, 0.750, 0.750], [0.250, 0.250, 0.250], [0.000, 0.000, 0.000]],
  "n_ef_per_ev_cell": 0.6,
  "e_form_mev_per_atom": -353
}

No. 14
{
  "formula": "AgW2Au",
  "functional": "PBE-GGA",
  "state": "optimized geometry",
  "lattice_angstrom": [[-3.054, -1.647, -0.356], [0.761, -2.006, 2.751], [-2.429, 3.766, 3.418]],
  "species": ["Au", "Ag", "W", "W"],
  "frac_coords": [[0.500, 0.500, 0.750], [0.500, 0.500, 0.250], [0.000, 0.000, 0.976], [0.000, 0.000, 0.524]],
  "n_ef_per_ev_cell": 2.7,
  "e_form_mev_per_atom": 843
}

No. 15
{
  "formula": "Tm3ScPt12",
  "functional": "PBE-GGA",
  "state": "optimized geometry",
  "lattice_angstrom": [[4.076, 0.000, 0.000], [0.000, 4.076, 0.000], [0.000, 0.000, 16.240]],
  "species": ["Tm", "Tm", "Tm", "Sc", "Pt", "Pt", "Pt", "Pt", "Pt", "Pt", "Pt", "Pt", "Pt", "Pt", "Pt", "Pt"],
  "frac_coords": [[0.000, 0.000, 0.248], [0.000, 0.000, 0.500], [0.000, 0.000, 0.752], [0.000, 0.000, 0.000], [0.500, 0.500, 0.000], [0.500, 0.500, 0.247], [0.500, 0.500, 0.500], [0.500, 0.500, 0.753], [0.500, 0.000, 0.120], [0.500, 0.000, 0.374], [0.500, 0.000, 0.626], [0.500, 0.000, 0.880], [0.000, 0.500, 0.120], [0.000, 0.500, 0.374], [0.000, 0.500, 0.626], [0.000, 0.500, 0.880]],
  "n_ef_per_ev_cell": 15.2,
  "e_form_mev_per_atom": -1079
}

No. 16
{
  "formula": "Sm2Tm4In",
  "functional": "PBE-GGA",
  "state": "optimized geometry",
  "lattice_angstrom": [[-6.274, 9.311, 2.316], [-4.650, -3.762, 2.528], [4.867, 2.282, 4.008]],
  "species": ["Tm", "Tm", "Tm", "Tm", "Tm", "Tm", "Tm", "Tm", "Sm", "Sm", "Sm", "Sm", "In", "In"],
  "frac_coords": [[0.750, 0.749, 0.000], [0.750, 0.748, 0.500], [0.750, 0.248, 0.500], [0.750, 0.249, 0.000], [0.250, 0.751, 0.000], [0.250, 0.752, 0.500], [0.250, 0.252, 0.500], [0.250, 0.251, 0.000], [0.000, 0.642, 0.284], [0.000, 0.358, 0.716], [0.500, 0.858, 0.716], [0.500, 0.142, 0.284], [0.000, 0.000, 0.000], [0.500, 0.500, 0.000]],
  "n_ef_per_ev_cell": 20.3,
  "e_form_mev_per_atom": 125
}

No. 17
{
  "formula": "ScMo5",
  "functional": "PBE-GGA",
  "state": "optimized geometry",
  "lattice_angstrom": [[-0.786, 1.764, 4.051], [-4.150, 1.193, -1.325], [-2.110, -3.392, 3.554]],
  "species": ["Sc", "Mo", "Mo", "Mo", "Mo", "Mo"],
  "frac_coords": [[0.000, 0.500, 0.500], [0.500, 0.000, 0.500], [0.828, 0.000, 0.843], [0.172, 0.000, 0.157], [0.325, 0.500, 0.851], [0.675, 0.500, 0.149]],
  "n_ef_per_ev_cell": 4.2,
  "e_form_mev_per_atom": -11
}

No. 18
{
  "formula": "Ac4CdGa",
  "functional": "PBE-GGA",
  "state": "optimized geometry",
  "lattice_angstrom": [[5.507, 0.000, -0.002], [0.000, 5.507, -0.003], [0.003, 0.005, 7.844]],
  "species": ["Ac", "Ac", "Ac", "Ac", "Cd", "Ga"],
  "frac_coords": [[0.501, 0.997, 0.259], [0.501, 0.997, 0.738], [0.001, 0.497, 0.738], [0.001, 0.497, 0.259], [0.501, 0.497, 0.998], [0.001, 0.997, 0.498]],
  "n_ef_per_ev_cell": 8.0,
  "e_form_mev_per_atom": -87
}

No. 19
{
  "formula": "PaCoNiB",
  "functional": "PBE-GGA",
  "state": "optimized geometry",
  "lattice_angstrom": [[-0.029, 0.523, 3.636], [3.386, -0.652, 0.121], [-0.848, 4.603, -0.669]],
  "species": ["Pa", "Co", "Ni", "B"],
  "frac_coords": [[0.500, 0.216, 0.431], [0.500, 0.482, 0.964], [0.000, 0.950, 0.900], [0.000, 0.580, 0.160]],
  "n_ef_per_ev_cell": 4.1,
  "e_form_mev_per_atom": -258
}

No. 20
{
  "formula": "NdCdHgPt",
  "functional": "PBE-GGA",
  "state": "optimized geometry",
  "lattice_angstrom": [[-0.549, -2.406, 4.398], [-0.277, -5.034, 0.103], [3.818, -2.698, 1.892]],
  "species": ["Nd", "Hg", "Pt", "Cd"],
  "frac_coords": [[0.000, 0.000, 0.000], [0.250, 0.250, 0.250], [0.750, 0.750, 0.750], [0.500, 0.500, 0.500]],
  "n_ef_per_ev_cell": 3.0,
  "e_form_mev_per_atom": -547
}